{
  "formula": "In2NiAs",
  "functional": "GGA-PBE",
  "state": "relaxed",
  "formation_energy_mev_per_atom": 139.0,
  "magnetic_moment_mub_per_fu": 0.000,
  "space_group": "C2/m, No. 12",
  "energy_ev_per_cell": -15.4,
  "lattice_angstrom": [[-2.867, 0.652, 2.607], [-3.761, 0.090, -1.136], [-2.576, -5.974, 1.512]],
  "species": ["As", "In", "In", "Ni"],
  "fractional_positions": [[0.750, 0.750, 0.750], [0.990, 0.990, 0.029], [0.510, 0.510, 0.471], [0.250, 0.250, 0.250]]
}